Record 1
{"formula": "ZrScSe", "functional": "PBE", "state": "relaxed", "magmom_total_mub_per_fu": 0.00, "raw_formation_energy_ev_per_atom": -0.94, "lattice": [[3.495, 0.000, 0.000], [0.000, 12.385, 0.000], [0.000, 0.000, 5.686]], "species": ["Sc", "Sc", "Sc", "Sc", "Se", "Se", "Se", "Se", "Zr", "Zr", "Zr", "Zr"], "fractional_positions": [[0.000, 0.193, 0.250], [0.500, 0.307, 0.750], [0.500, 0.693, 0.250], [0.000, 0.807, 0.750], [0.000, 0.862, 0.250], [0.500, 0.362, 0.250], [0.500, 0.638, 0.750], [0.000, 0.138, 0.750], [0.000, 0.500, 0.500], [0.500, 0.000, 0.000], [0.000, 0.500, 0.000], [0.500, 0.000, 0.500]]}

Record 2
{"formula": "BaAlSn4", "functional": "PBE", "state": "relaxed", "magmom_total_mub_per_fu": 0.00, "formation_enthalpy_0k_ev_per_atom": -0.12, "lattice": [[6.339, 0.000, 0.000], [3.170, 5.490, 0.000], [3.170, 1.830, 5.176]], "species": ["Sn", "Sn", "Sn", "Sn", "Ba", "Al"], "fractional_positions": [[0.626, 0.123, 0.626], [0.123, 0.626, 0.626], [0.626, 0.626, 0.626], [0.626, 0.626, 0.123], [0.250, 0.250, 0.250], [0.000, 0.000, 0.000]]}